# Sr2VReO8

A relaxed structure of Sr2VReO8 (GGA+U, the Alexandria database).

## Properties
The value obtained for the final energy is -86.42 eV for the cell shown.

Lattice parameters (Å, degrees): 5.2659 6.2777 5.2899 90.00 91.75 90.00
Space group P2/m (No. 10)
Unique sites:
Sr  0.0000  0.2468  0.0000
V  0.5000  0.0000  0.5000
Re  0.5000  0.5000  0.5000
O  0.2490  0.5000  0.2464
O  0.2615  0.0000  0.2591
O  0.3326  0.2640  0.6642